1.
Below is a relaxed structure of CoSi3P3, with properties calculated at the GGA-PBEsol level.

* uncorrected energy: -6.44 eV/atom

Structure (POSCAR):
```
CoSi3P3
1.0
-1.4277 -1.3537 -5.3096
-2.8290 -4.7436 1.9701
-10.6180 6.8365 1.1119
Co Si P
4 12 12
Direct
0.5360 0.9951 0.1209
0.0360 0.0049 0.8791
0.9672 0.4825 0.3874
0.4672 0.5175 0.6126
0.5290 0.1734 0.6796
0.0290 0.8266 0.3204
0.5649 0.6274 0.7748
0.0649 0.3726 0.2252
0.1708 0.9242 0.0453
0.6708 0.0758 0.9547
0.6001 0.5272 0.3282
0.1001 0.4728 0.6718
0.4952 0.0643 0.4261
0.9952 0.9357 0.5739
0.5863 0.6403 0.0721
0.0863 0.3597 0.9279
0.9068 0.0254 0.1738
0.4068 0.9746 0.8262
0.9867 0.5630 0.0737
0.4867 0.4370 0.9263
0.8925 0.1274 0.4270
0.3925 0.8726 0.5730
0.9595 0.6552 0.8210
0.4595 0.3448 0.1790
0.9245 0.1319 0.7229
0.4245 0.8681 0.2771
0.3336 0.4177 0.4512
0.8336 0.5823 0.5488
```

---

2.
Below is a relaxed structure of Be2AgW, with properties calculated at the GGA-PBEsol level.

* energy of formation from the pure elements: 575 meV per atom
* uncorrected energy: -5.70 eV/atom
* ΔE to the lowest computed polymorph: 98.2 meV/atom

Structure (POSCAR):
```
Be2AgW
1.0
3.4307 0.0000 0.0000
0.0000 3.4307 0.0000
-1.7154 -1.7154 4.2325
Be Ag W
2 1 1
Direct
0.0000 0.0000 0.0000
0.7500 0.2500 0.5000
0.2500 0.7500 0.5000
0.5000 0.5000 0.0000
```

---

3.
Below is a relaxed structure of AsIr2Se, with properties calculated at the GGA-PBEsol level.

* uncorrected energy: -7.11 eV/atom
* ΔE to the lowest computed polymorph: 0.0 meV/atom

Structure (POSCAR):
```
AsIr2Se
1.0
2.7353 0.0000 -0.0028
0.0000 3.5560 0.0000
-1.2740 0.0000 7.2839
As Ir Se
1 2 1
Direct
0.3597 0.5000 0.8284
0.9446 0.0000 0.0062
0.5449 0.5000 0.2204
0.6508 0.0000 0.4450
```

---

4.
Below is a relaxed structure of LaTaI2O, with properties calculated at the GGA-PBEsol level.

* uncorrected energy: -5.48 eV/atom

Structure (POSCAR):
```
LaTaI2O
1.0
4.1835 0.0000 0.0000
0.0000 6.2794 0.0000
0.0000 0.0000 6.2794
I La O Ta
2 1 1 1
Direct
0.0000 0.0000 0.5000
0.0000 0.5000 0.0000
0.0000 0.0000 0.0000
0.5000 0.0000 0.0000
0.5000 0.5000 0.5000
```

---

5.
Below is a relaxed structure of KTi5Se8, with properties calculated at the GGA-PBEsol level.

* uncorrected energy: -6.50 eV/atom

Structure (POSCAR):
```
KTi5Se8
1.0
3.5251 0.0000 0.0000
0.0000 9.0765 0.0358
-1.7626 -2.3527 8.9407
K Ti Se
1 5 8
Direct
0.5000 0.5000 0.0000
0.0000 0.0000 0.0000
0.3442 0.0012 0.6884
0.2913 0.6492 0.5827
0.7087 0.3508 0.4173
0.6558 0.9988 0.3116
0.4262 0.8219 0.8524
0.9133 0.1820 0.8265
0.8411 0.4990 0.6821
0.7558 0.8329 0.5115
0.2442 0.1671 0.4885
0.1589 0.5010 0.3179
0.0867 0.8180 0.1735
0.5738 0.1781 0.1476
```

---

6.
Below is a relaxed structure of LaY2Ru, with properties calculated at the GGA-PBEsol level.

* energy of formation from the pure elements: 190 meV per atom
* uncorrected energy: -7.10 eV/atom
* ΔE to the lowest computed polymorph: 359.7 meV/atom

Structure (POSCAR):
```
LaY2Ru
1.0
4.3346 0.0000 0.0000
0.0000 4.3346 0.0000
-2.1673 -2.1673 5.0881
La Ru Y
1 1 2
Direct
0.5000 0.5000 0.0000
0.2500 0.7500 0.5000
0.0000 0.0000 0.0000
0.7500 0.2500 0.5000
```

---

uncorrected energy of number 5 (KTi5Se8)?
-6.50 eV/atom